Entry from Alexandria: a geometry-optimized Ac2TlHg6 structure (GGA-PBE).

## Properties
Energy above the most stable polymorph in this dataset, meV per atom: 0
ρ, g/cm³: 12.03
Calculated volume, Å³ per atom: 28.545
Energy of formation from the pure elements, eV per atom: -0.319
Uncorrected energy, eV/cell: -15.264
Crystal system: monoclinic

Cell: 6.105 6.973 6.973 Å, 59.94 89.98 89.98°
Element x y z (fractional)
Hg: 0.329 0.816 0.816
Hg: 0.330 0.816 0.368
Tl: 0.000 0.000 0.000
Hg: 0.670 0.632 0.184
Hg: 0.670 0.184 0.632
Ac: 0.820 0.667 0.667
Ac: 0.180 0.333 0.333
Hg: 0.671 0.184 0.184
Hg: 0.330 0.368 0.816